(1)
## SrInPS2 (GGA-PBE)

Data for a relaxed SrInPS2 crystal.

Geometry as POSCAR:
```
SrInPS2
1.0
-5.359 1.752 -0.126
-0.795 -2.057 5.190
1.651 5.214 2.319
Sr S P In
1 2 1 1
Direct
0.000 0.000 0.000
0.000 0.500 0.000
0.500 0.000 0.000
0.000 0.000 0.500
0.500 0.500 0.500
```

ρ = 2.62 Mg/m³
Formation energy without anion corrections = 1.72 eV/f.u.
Polymorph energy (0 for the lowest one) = 676 meV/atom
Fermi-level density of states = 0.722 states/eV per atom

***

(2)
## SrInPS2 (GGA-PBE)

Data for a relaxed SrInPS2 crystal.

Geometry as POSCAR:
```
SrInPS2
1.0
-4.159 -1.327 -2.756
-1.259 -3.497 3.584
-2.678 3.419 2.396
Sr S P In
1 2 1 1
Direct
0.500 0.500 0.500
0.000 0.500 0.000
0.500 0.000 0.000
0.000 0.000 0.500
0.000 0.000 0.000
```

ρ = 3.74 Mg/m³
Formation energy without anion corrections = -1.66 eV/f.u.
Polymorph energy (0 for the lowest one) = 0 meV/atom
Fermi-level density of states = 0.693 states/eV per atom